# Pr2GeP3Pd4 (GGA-PBE, optimized geometry)
data_Pr2GeP3Pd4
_chemical_formula_sum 'Pr2 Ge1 P3 Pd4'
_space_group_name_H-M_alt 'P -4 m 2'
_space_group_IT_number 115
_cell_length_a 4.246
_cell_length_b 4.246
_cell_length_c 10.119
_cell_angle_alpha 90.00
_cell_angle_beta 90.00
_cell_angle_gamma 90.00
loop_
_space_group_symop_operation_xyz
'x,y,z'
'y,-x,-z'
'-x,-y,z'
'-y,x,-z'
'-x,y,z'
'-y,-x,-z'
'x,-y,z'
'y,x,-z'
loop_
_atom_site_label
_atom_site_fract_x
_atom_site_fract_y
_atom_site_fract_z
_atom_site_occupancy
Pr1 0.000 0.500 0.246 1
Ge1 0.000 0.000 0.500 1
P1 0.000 0.500 0.867 1
P2 0.500 0.500 0.500 1
Pd1 0.000 0.000 0.000 1
Pd2 0.000 0.500 0.631 1
Pd3 0.500 0.500 0.000 1
# Energy of formation   -87.70 kJ/mol of atoms